BeCuIr | Alexandria via LeMat-Bulk | GGA-PBE | relaxed; calculated formation energy = -0.0380 eV per atom; offset from the most stable computed form = 157 meV per atom; symmetry = I4/mmm (139)
1.0
-0.2544 -2.2490 -1.4827
2.2161 -1.0214 1.1690
-6.5545 -2.3847 7.2106
Cu Ir Be
2 2 2
Cartesian
-1.3204 -3.2949 2.7555
-3.2724 -2.3601 4.1414
0.2591 -2.1558 0.7566
-4.8518 -3.4993 6.1403
-3.1069 -4.5834 5.0165
-1.4858 -1.0716 1.8804

Ba4Ti3PbO12 | Alexandria via LeMat-Bulk | GGA-PBE | relaxed; energy relative to the elements, uncorrected = -53.96 eV/f.u.; symmetry = Im-3m (229)
1.0
7.1199 0.0000 0.0000
-2.3733 6.7127 0.0000
-2.3733 -3.3564 5.8134
O Ba Pb Ti
12 4 1 3
Cartesian
-3.4973 2.4730 4.2833
1.1867 -0.8391 4.3600
-1.1867 3.3564 2.9067
1.2493 -0.8834 1.5301
-1.2493 0.8834 1.5301
3.4973 -2.4730 4.2833
3.5600 2.5173 1.4533
3.4973 4.9460 0.0000
3.5600 0.0000 2.9067
1.1867 4.1955 1.4533
-1.1867 0.8391 4.3600
1.2493 1.7668 0.0000
1.1867 1.6782 2.9067
-1.1867 -1.6782 2.9067
-1.1867 3.3564 0.0000
3.5600 0.0000 0.0000
0.0000 0.0000 0.0000
2.3733 3.3564 0.0000
2.3733 -1.6782 2.9067
-2.3733 1.6782 2.9067

La2Nd7Dy3 | Alexandria via LeMat-Bulk | GGA-PBE | relaxed; calculated formation energy = 0.0657 eV per atom; symmetry = P2/m (10)
1.0
-0.8920 2.0912 -2.7897
2.4960 -4.4160 -4.1083
-14.0175 -11.2209 -3.9292
Nd Dy La
7 3 2
Cartesian
-10.6193 -11.3352 -5.1014
0.0000 0.0000 0.0000
-5.5007 -7.8872 -6.4746
-2.6549 -1.1134 -2.3070
-9.7586 -12.4324 -8.5203
-6.9127 -5.6586 -4.3526
-0.9022 -4.3017 -2.9361
0.8020 -1.1624 -3.4490
-7.0234 -11.3075 -6.2304
-4.4980 -4.3295 -1.8071
-3.5521 -5.3591 -5.2026
-8.8614 -8.1867 -5.6246

Rb4LaHo3Te8 | Alexandria via LeMat-Bulk | GGA-PBE | relaxed; energy relative to the elements, uncorrected = -22.41 eV/f.u.; symmetry = R-3m (166)
1.0
-4.0769 1.9176 7.9528
5.7154 -6.8750 4.5876
4.3286 6.5916 -4.6229
La Ho Te Rb
1 3 8 4
Cartesian
2.8577 -3.4375 2.2938
2.9836 0.8171 3.9588
0.8192 -2.4787 6.2702
5.0220 -0.1417 -0.0176
3.0099 -0.3243 6.8737
2.9573 1.9585 1.0438
5.2249 2.9071 4.5180
0.7423 -1.2730 3.3995
0.8641 2.8427 5.0101
5.1030 -1.2085 2.9074
-1.2296 -0.3455 7.2460
7.1968 1.9797 0.6715
0.0000 0.0000 0.0000
-2.0385 0.9588 3.9764
0.1259 4.2546 1.6649
2.1643 3.2958 -2.3114

Mn2PdPtN | Alexandria via LeMat-Bulk | GGA-PBE | relaxed; energy relative to the elements, uncorrected = -0.79 eV/f.u.; symmetry = P4/mmm (123)
1.0
-3.1423 0.6613 -2.3552
-0.7764 -3.9054 -0.0606
-2.4129 0.4278 3.3395
Pd Mn N Pt
1 2 1 1
Cartesian
-1.2064 0.2139 1.6697
-0.3882 -1.9527 -0.0303
-1.5712 0.3306 -1.1776
0.0000 0.0000 0.0000
-3.1658 -1.4081 0.4618

TaTcIr2 | Alexandria via LeMat-Bulk | GGA-PBE | relaxed; calculated formation energy = 0.2785 eV per atom; offset from the most stable computed form = 788 meV per atom; symmetry = I-42d (122)
1.0
3.8632 0.0000 0.0000
0.0000 3.8632 0.0000
1.9316 1.9316 9.0004
Ir Tc Ta
4 2 2
Cartesian
0.9998 2.8974 2.2501
4.8291 4.7950 6.7503
2.8974 2.9315 6.7503
2.8634 0.9658 2.2501
1.9316 1.9316 0.0000
1.9316 3.8632 4.5002
0.0000 0.0000 0.0000
3.8632 1.9316 4.5002

Ca2InFe | Alexandria via LeMat-Bulk | GGA-PBE | relaxed; calculated formation energy = 0.1244 eV per atom; symmetry = P4mm (99)
1.0
3.5478 0.0000 0.0000
0.0000 3.5478 0.0000
0.0000 0.0000 8.4742
Ca In Fe
2 1 1
Cartesian
0.0000 0.0000 8.0022
1.7739 1.7739 2.6922
1.7739 1.7739 5.8237
0.0000 0.0000 4.6673

La5Zn4Ge | Alexandria via LeMat-Bulk | GGA-PBE | relaxed; calculated formation energy = -0.3887 eV per atom; symmetry = P4/mmm (123)
1.0
3.7433 0.0000 0.0000
0.0000 3.7433 0.0000
0.0000 0.0000 18.9661
La Zn Ge
5 4 1
Cartesian
1.8716 1.8716 9.4830
1.8716 1.8716 13.2773
1.8716 1.8716 1.8871
1.8716 1.8716 5.6888
1.8716 1.8716 17.0790
0.0000 0.0000 15.0795
0.0000 0.0000 3.8866
0.0000 0.0000 7.5815
0.0000 0.0000 11.3846
0.0000 0.0000 0.0000

Computed ρ (Mg/m³) in order:
12.2, 6.5, 7.1, 5.4, 10.8, 16.4, 3.9, 6.4